# PrY3Sc

A relaxed PrY3Sc crystal (PBE, the Alexandria database).

```
PrY3Sc
1.0
9.8673 -4.9168 0.0000
9.8673 4.9168 0.0000
-0.4997 0.0000 6.5425
Pr Y Sc
4 12 4
Cartesian
9.4926 3.8856 4.9069 Pr
9.7424 2.4939 1.6356 Pr
9.4926 -2.4939 4.9069 Pr
9.7424 -3.8856 1.6356 Pr
2.6834 0.9984 3.9219 Y
6.1349 2.4039 5.9700 Y
2.9333 -0.9984 0.6507 Y
8.0652 0.5420 3.9172 Y
12.8503 2.4039 3.8437 Y
8.3150 -0.5420 0.6460 Y
10.9200 0.5420 5.8965 Y
6.3847 -2.4039 2.6988 Y
11.1698 -0.5420 2.6253 Y
16.3017 0.9984 5.8918 Y
13.1001 -2.4039 0.5725 Y
16.5515 -0.9984 2.6206 Y
5.4419 0.6806 2.1032 Sc
5.1921 -0.6806 5.3744 Sc
14.0429 0.6806 1.1680 Sc
13.7931 -0.6806 4.4393 Sc
```

crystal system = monoclinic
DOS(E_F) = 1.494 states/eV/atom
DFT formation energy = 0.4 eV/f.u.
space-group type = C2/c